No. 1
The following is a DFT calculation (PBE) of GdLuAlRh after structural relaxation.

Cell: 7.0163 7.0163 7.0163 Å, 90.00 90.00 90.00°
Last column: nearest neighbours and their distance in Å.
Space group F-43m (No. 216)
Asymmetric unit:
Gd: 0.0000 0.0000 0.0000 x4  4 Al 3.04, 4 Rh 3.04
Lu: 0.0000 0.0000 0.5000 x4  4 Al 3.04, 4 Rh 3.04
Al: 0.2500 0.2500 0.2500 x4  4 Gd 3.04, 4 Lu 3.04
Rh: 0.2500 0.2500 0.7500 x4  4 Gd 3.04, 4 Lu 3.04

Raw total energy (eV/atom): -7.9929
Crystal system: cubic
DFT formation energy (kJ/mol of formula units): -219.6

No. 2
The following is a DFT calculation (PBE) of GdLuAlRu after structural relaxation.

Cell: 6.9608 6.9608 6.9608 Å, 90.00 90.00 90.00°
Last column: nearest neighbours and their distance in Å.
Space group F-43m (No. 216)
Asymmetric unit:
Gd: 0.0000 0.0000 0.0000 x4  4 Al 3.01, 4 Ru 3.01
Lu: 0.0000 0.0000 0.5000 x4  4 Ru 3.01, 4 Al 3.01
Al: 0.2500 0.2500 0.7500 x4  4 Gd 3.01, 4 Lu 3.01
Ru: 0.2500 0.2500 0.2500 x4  4 Gd 3.01, 4 Lu 3.01

Raw total energy (eV/atom): -8.2691
Crystal system: cubic
DFT formation energy (kJ/mol of formula units): -140.5

No. 3
The following is a DFT calculation (PBE) of GdLuAlSn after structural relaxation.

Cell: 7.3631 7.3631 7.3631 Å, 90.00 90.00 90.00°
Last column: nearest neighbours and their distance in Å.
Space group F-43m (No. 216)
Asymmetric unit:
Gd: 0.0000 0.0000 0.0000 x4  4 Al 3.19, 4 Sn 3.19
Lu: 0.0000 0.0000 0.5000 x4  4 Sn 3.19, 4 Al 3.19
Al: 0.2500 0.2500 0.7500 x4  4 Lu 3.19, 4 Gd 3.19
Sn: 0.2500 0.2500 0.2500 x4  4 Gd 3.19, 4 Lu 3.19

Raw total energy (eV/atom): -7.0188
Crystal system: cubic
DFT formation energy (kJ/mol of formula units): -166.7

No. 4
The following is a DFT calculation (PBE) of GdLuTiAl after structural relaxation.

Cell: 7.2160 7.2160 7.2160 Å, 90.00 90.00 90.00°
Last column: nearest neighbours and their distance in Å.
Space group F-43m (No. 216)
Asymmetric unit:
Gd: 0.0000 0.0000 0.0000 x4  4 Al 3.12, 4 Ti 3.12
Lu: 0.0000 0.0000 0.5000 x4  4 Ti 3.12, 4 Al 3.12
Ti: 0.2500 0.2500 0.2500 x4  4 Gd 3.12, 4 Lu 3.12
Al: 0.2500 0.2500 0.7500 x4  4 Gd 3.12, 4 Lu 3.12

Raw total energy (eV/atom): -7.6026
Crystal system: cubic
DFT formation energy (kJ/mol of formula units): -16.5

No. 5
The following is a DFT calculation (PBE) of GdLuAlTl after structural relaxation.

Cell: 7.3899 7.3899 7.3899 Å, 90.00 90.00 90.00°
Last column: nearest neighbours and their distance in Å.
Space group F-43m (No. 216)
Asymmetric unit:
Gd: 0.0000 0.0000 0.0000 x4  4 Tl 3.20, 4 Al 3.20
Lu: 0.0000 0.0000 0.5000 x4  4 Tl 3.20, 4 Al 3.20
Al: 0.2500 0.2500 0.7500 x4  4 Gd 3.20, 4 Lu 3.20
Tl: 0.2500 0.2500 0.2500 x4  4 Gd 3.20, 4 Lu 3.20

Raw total energy (eV/atom): -6.4903
Crystal system: cubic
DFT formation energy (kJ/mol of formula units): -120.7

No. 6
The following is a DFT calculation (PBE) of GdMgAl after structural relaxation.

Cell: 3.3521 3.3521 12.5990 Å, 90.00 90.00 90.00°
Last column: nearest neighbours and their distance in Å.
Space group I4mm (No. 107)
Asymmetric unit:
Gd: 0.0000 0.0000 0.0000 x2  4 Al 3.12, 4 Gd 3.35, 4 Mg 3.44
Mg: 0.0000 0.0000 0.3023 x2  4 Al 2.96
Al: 0.0000 0.0000 0.6612 x2  4 Mg 2.96, 4 Gd 3.12

Raw total energy (eV/atom): -6.6567
Crystal system: tetragonal
DFT formation energy (kJ/mol of formula units): -53.3

No. 7
The following is a DFT calculation (PBE) of GdMgAl after structural relaxation.

Cell: 4.8619 4.8619 3.5114 Å, 90.00 90.00 120.00°
Last column: nearest neighbours and their distance in Å.
Space group P-6m2 (No. 187)
Asymmetric unit:
Gd: 0.0000 0.0000 0.0000 x1  6 Al 3.31, 6 Mg 3.31, 2 Gd 3.51
Mg: 0.6667 0.3333 0.5000 x1  3 Al 2.81
Al: 0.3333 0.6667 0.5000 x1  3 Mg 2.81

Raw total energy (eV/atom): -6.7337
Crystal system: hexagonal
DFT formation energy (kJ/mol of formula units): -75.6

No. 8
The following is a DFT calculation (PBE) of GdMg2Al after structural relaxation.

Cell: 7.0924 7.0924 7.0924 Å, 90.00 90.00 90.00°
Last column: nearest neighbours and their distance in Å.
Space group Fm-3m (No. 225)
Asymmetric unit:
Gd: 0.0000 0.0000 0.0000 x4  8 Mg 3.07
Mg: 0.2500 0.2500 0.2500 x8  4 Gd 3.07, 4 Al 3.07
Al: 0.0000 0.0000 0.5000 x4  8 Mg 3.07

Raw total energy (eV/atom): -5.3356
Crystal system: cubic
DFT formation energy (kJ/mol of formula units): -31.8

No. 9
The following is a DFT calculation (PBE) of GdMg2Al after structural relaxation.

Cell: 3.1746 3.1746 33.4247 Å, 90.00 90.00 120.00°
Last column: nearest neighbours and their distance in Å.
Space group R-3m (No. 166, hexagonal axes)
Asymmetric unit:
Gd: 0.0000 0.0000 0.0000 x3  6 Gd 3.17, 2 Mg 3.22
Mg: 0.0000 0.0000 0.0963 x6  3 Al 2.98, 6 Mg 3.17, 1 Gd 3.22
Al: 0.0000 0.0000 0.5000 x3  6 Mg 2.98, 6 Al 3.17

Raw total energy (eV/atom): -5.0545
Crystal system: trigonal
DFT formation energy (kJ/mol of formula units): 76.7

No. 10
The following is a DFT calculation (PBE) of GdMg2Al after structural relaxation.

Cell: 4.4136 4.4136 4.8041 Å, 90.00 90.00 90.00°
Last column: nearest neighbours and their distance in Å.
Space group P4/mmm (No. 123)
Asymmetric unit:
Gd: 0.0000 0.0000 0.0000 x1  4 Al 3.12, 8 Mg 3.26
Mg: 0.0000 0.5000 0.5000 x2  4 Mg 3.12, 4 Gd 3.26, 4 Al 3.26
Al: 0.5000 0.5000 0.0000 x1  4 Gd 3.12, 8 Mg 3.26

Raw total energy (eV/atom): -5.4461
Crystal system: tetragonal
DFT formation energy (kJ/mol of formula units): -74.4

No. 11
The following is a DFT calculation (PBE) of GdMgAlNi after structural relaxation.

Cell: 6.7369 6.7369 6.7369 Å, 90.00 90.00 90.00°
Last column: nearest neighbours and their distance in Å.
Space group F-43m (No. 216)
Asymmetric unit:
Gd: 0.0000 0.0000 0.0000 x4  4 Ni 2.92, 4 Al 2.92
Mg: 0.0000 0.0000 0.5000 x4  4 Al 2.92, 4 Ni 2.92
Al: 0.2500 0.2500 0.7500 x4  4 Gd 2.92, 4 Mg 2.92
Ni: 0.2500 0.2500 0.2500 x4  4 Mg 2.92, 4 Gd 2.92

Raw total energy (eV/atom): -6.5388
Crystal system: cubic
DFT formation energy (kJ/mol of formula units): -92.2

No. 12
The following is a DFT calculation (PBE) of GdMgAlPd after structural relaxation.

Cell: 6.8778 6.8778 6.8778 Å, 90.00 90.00 90.00°
Last column: nearest neighbours and their distance in Å.
Space group F-43m (No. 216)
Asymmetric unit:
Gd: 0.0000 0.0000 0.0000 x4  4 Al 2.98, 4 Pd 2.98
Mg: 0.0000 0.0000 0.5000 x4  4 Al 2.98, 4 Pd 2.98
Al: 0.2500 0.2500 0.2500 x4  4 Mg 2.98, 4 Gd 2.98
Pd: 0.2500 0.2500 0.7500 x4  4 Gd 2.98, 4 Mg 2.98

Raw total energy (eV/atom): -6.6634
Crystal system: cubic
DFT formation energy (kJ/mol of formula units): -197.1

No. 13
The following is a DFT calculation (PBE) of PmGdMgAl after structural relaxation.

Cell: 7.4704 7.4704 7.4704 Å, 90.00 90.00 90.00°
Last column: nearest neighbours and their distance in Å.
Space group F-43m (No. 216)
Asymmetric unit:
Pm: 0.0000 0.0000 0.0000 x4  4 Mg 3.23, 4 Al 3.23
Gd: 0.0000 0.0000 0.5000 x4  4 Mg 3.23, 4 Al 3.23
Mg: 0.2500 0.2500 0.7500 x4  4 Gd 3.23, 4 Pm 3.23
Al: 0.2500 0.2500 0.2500 x4  4 Gd 3.23, 4 Pm 3.23

Raw total energy (eV/atom): -6.3105
Crystal system: cubic
DFT formation energy (kJ/mol of formula units): -103.6

No. 14
The following is a DFT calculation (PBE) of GdMgScAl after structural relaxation.

Cell: 7.1760 7.1760 7.1760 Å, 90.00 90.00 90.00°
Last column: nearest neighbours and their distance in Å.
Space group F-43m (No. 216)
Asymmetric unit:
Gd: 0.0000 0.0000 0.0000 x4  4 Mg 3.11, 4 Al 3.11
Mg: 0.2500 0.2500 0.2500 x4  4 Gd 3.11, 4 Sc 3.11
Sc: 0.0000 0.0000 0.5000 x4  4 Mg 3.11, 4 Al 3.11
Al: 0.2500 0.2500 0.7500 x4  4 Gd 3.11, 4 Sc 3.11

Raw total energy (eV/atom): -6.7031
Crystal system: cubic
DFT formation energy (kJ/mol of formula units): -102.6

No. 15
The following is a DFT calculation (PBE) of SmGdMgAl after structural relaxation.

Cell: 7.4595 7.4595 7.4595 Å, 90.00 90.00 90.00°
Last column: nearest neighbours and their distance in Å.
Space group F-43m (No. 216)
Asymmetric unit:
Sm: 0.0000 0.0000 0.0000 x4  4 Mg 3.23, 4 Al 3.23
Gd: 0.0000 0.0000 0.5000 x4  4 Mg 3.23, 4 Al 3.23
Mg: 0.2500 0.2500 0.7500 x4  4 Gd 3.23, 4 Sm 3.23
Al: 0.2500 0.2500 0.2500 x4  4 Gd 3.23, 4 Sm 3.23

Raw total energy (eV/atom): -6.3002
Crystal system: cubic
DFT formation energy (kJ/mol of formula units): -102.6